# Tm2BiTe2

Tm2BiTe2 after structural relaxation (PBE, the Alexandria database).

Summary:
As for the uncorrected formation energy: -92 kJ/mol of atoms. The value obtained for the density is 7.805 Mg/m³. The calculation puts the total DFT energy (no corrections) at -23.9 eV/f.u.

Cell lengths 4.3063, 6.0201, 7.5509 Å; angles 113.49, 106.57, 90.00 degrees
Closest atoms and distances in Å follow each position.
Atoms (fractional coordinates):
Tm (0.6709, 0.1709, 0.3419)  4 Te 3.01-3.07, 2 Bi 3.11
Tm (0.3291, 0.8291, 0.6581)  4 Te 3.01-3.07, 2 Bi 3.11
Bi (0.0000, 0.0000, 0.0000)  4 Tm 3.11
Te (0.3367, 0.3367, 0.6735)  4 Tm 3.01-3.07
Te (0.6633, 0.6633, 0.3265)  4 Tm 3.01-3.07